This record from Alexandria describes a relaxed Te4As2Cl crystal. The functional is GGA-PBE.

Structure (CIF):
```
data_Te4As2Cl
_cell_length_a 10.055
_cell_length_b 8.916
_cell_length_c 9.308
_cell_angle_alpha 89.85
_cell_angle_beta 126.22
_cell_angle_gamma 117.07
_space_group_name_H-M_alt 'P 1'
_space_group_IT_number 1
loop_
_space_group_symop_operation_xyz
'x,y,z'
loop_
_atom_site_label
_atom_site_fract_x
_atom_site_fract_y
_atom_site_fract_z
Te1 0.925 0.234 0.357
Te2 0.152 0.543 0.101
Te3 0.087 0.604 0.779
Te4 0.724 0.009 0.628
Te5 0.452 0.094 0.320
Te6 0.485 0.187 0.910
Te7 0.475 0.636 0.771
Te8 0.817 0.742 0.173
As1 0.701 0.498 0.899
As2 0.507 0.846 0.260
As3 0.702 0.350 0.281
As4 0.174 0.374 0.740
Cl1 0.145 0.785 0.490
Cl2 0.903 0.849 0.790
```

Results
* total magnetic moment: 0.00 Bohr magnetons per cell
* formation energy from raw total energies: -0.06 eV per atom
* symmetry: P1 (1)

***

This record from Alexandria describes a relaxed K14Nd2O9 crystal. The functional is GGA-PBE.

Structure (CIF):
```
data_K14Nd2O9
_cell_length_a 7.936
_cell_length_b 7.936
_cell_length_c 11.099
_cell_angle_alpha 90.00
_cell_angle_beta 90.00
_cell_angle_gamma 120.00
_space_group_name_H-M_alt 'P 1'
_space_group_IT_number 1
loop_
_space_group_symop_operation_xyz
'x,y,z'
loop_
_atom_site_label
_atom_site_fract_x
_atom_site_fract_y
_atom_site_fract_z
K1 0.056 0.687 0.911
K2 0.278 0.898 0.591
K3 0.102 0.380 0.591
K4 0.000 0.000 0.246
K5 0.000 0.000 0.754
K6 0.313 0.368 0.911
K7 0.632 0.944 0.911
K8 0.380 0.278 0.409
K9 0.620 0.722 0.591
K10 0.368 0.056 0.089
K11 0.687 0.632 0.089
K12 0.898 0.620 0.409
K13 0.722 0.102 0.409
K14 0.944 0.313 0.089
Nd1 0.333 0.667 0.271
Nd2 0.667 0.333 0.729
O1 0.263 0.895 0.342
O2 0.105 0.368 0.342
O3 0.333 0.667 0.065
O4 0.000 0.000 0.000
O5 0.368 0.263 0.658
O6 0.632 0.737 0.342
O7 0.667 0.333 0.935
O8 0.895 0.632 0.658
O9 0.737 0.105 0.658
```

Results
* total magnetic moment: 1.45 Bohr magnetons per cell
* formation energy from raw total energies: -1.39 eV per atom
* symmetry: P-3 (147)

***

This record from Alexandria describes a relaxed Pm7TmSc2 crystal. The functional is GGA-PBE.

Structure (CIF):
```
data_Pm7TmSc2
_cell_length_a 5.567
_cell_length_b 8.910
_cell_length_c 8.910
_cell_angle_alpha 119.62
_cell_angle_beta 90.00
_cell_angle_gamma 90.00
_space_group_name_H-M_alt 'P 1'
_space_group_IT_number 1
loop_
_space_group_symop_operation_xyz
'x,y,z'
loop_
_atom_site_label
_atom_site_fract_x
_atom_site_fract_y
_atom_site_fract_z
Pm1 0.000 0.755 0.245
Pm2 0.000 0.245 0.755
Pm3 0.500 0.063 0.303
Pm4 0.500 0.937 0.697
Pm5 0.500 0.303 0.063
Pm6 0.500 0.697 0.937
Pm7 0.500 0.500 0.500
Tm1 0.000 0.000 0.000
Sc1 0.500 0.704 0.296
Sc2 0.500 0.296 0.704
```

Results
* total energy: -44.30 eV/cell
* total magnetic moment: 0.00 Bohr magnetons per cell
* symmetry: Cmmm (65)

***

This record from Alexandria describes a relaxed BaSr2Bi crystal. The functional is GGA-PBE.

Structure (CIF):
```
data_BaSr2Bi
_cell_length_a 10.741
_cell_length_b 10.741
_cell_length_c 8.449
_cell_angle_alpha 50.53
_cell_angle_beta 50.53
_cell_angle_gamma 90.00
_space_group_name_H-M_alt 'P 1'
_space_group_IT_number 1
loop_
_space_group_symop_operation_xyz
'x,y,z'
loop_
_atom_site_label
_atom_site_fract_x
_atom_site_fract_y
_atom_site_fract_z
Sr1 0.709 0.125 0.250
Sr2 0.041 0.625 0.250
Sr3 0.375 0.291 0.750
Sr4 0.875 0.959 0.750
Bi1 0.000 0.000 0.000
Bi2 0.750 0.250 0.500
Ba1 0.500 0.500 0.000
Ba2 0.250 0.750 0.500
```

Results
* total energy: -21.10 eV/cell
* total magnetic moment: 0.00 Bohr magnetons per cell
* symmetry: I-42d (122)

***

This record from Alexandria describes a relaxed MgSeO3 crystal. The functional is GGA-PBE.

Structure (CIF):
```
data_MgSeO3
_cell_length_a 3.892
_cell_length_b 3.892
_cell_length_c 3.892
_cell_angle_alpha 90.00
_cell_angle_beta 90.00
_cell_angle_gamma 90.00
_space_group_name_H-M_alt 'P 1'
_space_group_IT_number 1
loop_
_space_group_symop_operation_xyz
'x,y,z'
loop_
_atom_site_label
_atom_site_fract_x
_atom_site_fract_y
_atom_site_fract_z
Mg1 0.500 0.500 0.500
O1 0.000 0.500 0.000
O2 0.000 0.000 0.500
O3 0.500 0.000 0.000
Se1 0.000 0.000 0.000
```

Results
* total magnetic moment: 0.00 Bohr magnetons per cell
* formation energy from raw total energies: -0.81 eV per atom
* symmetry: Pm-3m (221)

***

This record from Alexandria describes a relaxed Nd12Sm6Dy crystal. The functional is GGA-PBE.

Structure (CIF):
```
data_Nd12Sm6Dy
_cell_length_a 8.744
_cell_length_b 8.744
_cell_length_c 8.744
_cell_angle_alpha 89.11
_cell_angle_beta 89.11
_cell_angle_gamma 89.11
_space_group_name_H-M_alt 'P 1'
_space_group_IT_number 1
loop_
_space_group_symop_operation_xyz
'x,y,z'
loop_
_atom_site_label
_atom_site_fract_x
_atom_site_fract_y
_atom_site_fract_z
Nd1 0.780 0.536 0.434
Nd2 0.434 0.780 0.536
Nd3 0.536 0.434 0.780
Nd4 0.220 0.464 0.566
Nd5 0.566 0.220 0.464
Nd6 0.464 0.566 0.220
Nd7 0.017 0.194 0.360
Nd8 0.806 0.640 0.983
Nd9 0.640 0.983 0.806
Nd10 0.983 0.806 0.640
Nd11 0.194 0.360 0.017
Nd12 0.360 0.017 0.194
Sm1 0.739 0.904 0.300
Sm2 0.700 0.261 0.096
Sm3 0.096 0.700 0.261
Sm4 0.261 0.096 0.700
Sm5 0.300 0.739 0.904
Sm6 0.904 0.300 0.739
Dy1 0.000 0.000 0.000
```

Results
* total magnetic moment: 0.00 Bohr magnetons per cell
* polymorph energy (0 for the lowest one): 0 meV/atom
* symmetry: R-3 (148)

***

This record from Alexandria describes a relaxed Ba2TlBi crystal. The functional is GGA-PBE.

Structure (CIF):
```
data_Ba2TlBi
_cell_length_a 4.801
_cell_length_b 5.761
_cell_length_c 5.761
_cell_angle_alpha 90.00
_cell_angle_beta 90.00
_cell_angle_gamma 90.00
_space_group_name_H-M_alt 'P 1'
_space_group_IT_number 1
loop_
_space_group_symop_operation_xyz
'x,y,z'
loop_
_atom_site_label
_atom_site_fract_x
_atom_site_fract_y
_atom_site_fract_z
Tl1 0.500 0.000 0.000
Bi1 0.500 0.500 0.500
Ba1 0.000 0.000 0.500
Ba2 0.000 0.500 0.000
```

Results
* total magnetic moment: 0.00 Bohr magnetons per cell
* polymorph energy (0 for the lowest one): 0 meV/atom
* symmetry: P4/mmm (123)

***

This record from Alexandria describes a relaxed VCd2MoRu crystal. The functional is GGA-PBE.

Structure (CIF):
```
data_VCd2MoRu
_cell_length_a 5.005
_cell_length_b 4.274
_cell_length_c 5.005
_cell_angle_alpha 90.00
_cell_angle_beta 90.00
_cell_angle_gamma 90.00
_space_group_name_H-M_alt 'P 1'
_space_group_IT_number 1
loop_
_space_group_symop_operation_xyz
'x,y,z'
loop_
_atom_site_label
_atom_site_fract_x
_atom_site_fract_y
_atom_site_fract_z
Ru1 0.500 0.500 0.500
Mo1 0.000 0.500 0.000
V1 0.000 0.000 0.000
Cd1 0.000 0.000 0.500
Cd2 0.500 0.000 0.000
```

Results
* total energy: -23.51 eV/cell
* total magnetic moment: 1.71 Bohr magnetons per cell
* symmetry: P4/mmm (123)

***

This record from Alexandria describes a relaxed PmPaNbN4 crystal. The functional is GGA-PBE.

Structure (CIF):
```
data_PmPaNbN4
_cell_length_a 5.708
_cell_length_b 5.709
_cell_length_c 6.783
_cell_angle_alpha 90.00
_cell_angle_beta 114.88
_cell_angle_gamma 90.00
_space_group_name_H-M_alt 'P 1'
_space_group_IT_number 1
loop_
_space_group_symop_operation_xyz
'x,y,z'
loop_
_atom_site_label
_atom_site_fract_x
_atom_site_fract_y
_atom_site_fract_z
Pm1 0.607 0.750 0.215
Pm2 0.393 0.250 0.785
Pa1 0.110 0.250 0.220
Pa2 0.890 0.750 0.780
Nb1 0.262 0.750 0.525
Nb2 0.738 0.250 0.475
N1 0.940 0.250 0.881
N2 0.424 0.750 0.848
N3 0.060 0.750 0.119
N4 0.576 0.250 0.152
N5 0.500 0.500 0.500
N6 0.000 0.000 0.500
N7 0.500 0.000 0.500
N8 0.000 0.500 0.500
```

Results
* total magnetic moment: 0.17 Bohr magnetons per cell
* formation energy from raw total energies: -1.18 eV per atom
* symmetry: Cmcm (63)